Record 1
# Rb3LiTi, relaxed, DFT PBE-GGA
data_Rb3LiTi
_cell_length_a 7.1092
_cell_length_b 7.1092
_cell_length_c 7.1092
_cell_angle_alpha 90.00
_cell_angle_beta 90.00
_cell_angle_gamma 90.00
_symmetry_space_group_name_H-M 'P m -3 m'
_symmetry_Int_Tables_number 221
_symmetry_space_group_name_Hall '-P 4 2 3'
loop_
_atom_site_label
_atom_site_type_symbol
_atom_site_fract_x
_atom_site_fract_y
_atom_site_fract_z
_atom_site_occupancy
Rb1 Rb 0.0000 0.0000 0.5000 1
Li1 Li 0.5000 0.5000 0.5000 1
Ti1 Ti 0.0000 0.0000 0.0000 1
# Total energy = -8.0 eV for the cell shown
# Formation energy from the elements = 0.942 eV per atom
# Volume = 71.86 Å³/atom
# Theoretical density = 1438 kg/m3
# Relative energy among the computed polymorphs = 0 meV/atom


Record 2
# RbLi3Ti, relaxed, DFT PBE-GGA
data_RbLi3Ti
_cell_length_a 5.6891
_cell_length_b 5.6891
_cell_length_c 5.6891
_cell_angle_alpha 90.00
_cell_angle_beta 90.00
_cell_angle_gamma 90.00
_symmetry_space_group_name_H-M 'P m -3 m'
_symmetry_Int_Tables_number 221
_symmetry_space_group_name_Hall '-P 4 2 3'
loop_
_atom_site_label
_atom_site_type_symbol
_atom_site_fract_x
_atom_site_fract_y
_atom_site_fract_z
_atom_site_occupancy
Rb1 Rb 0.0000 0.0000 0.0000 1
Li1 Li 0.0000 0.5000 0.5000 1
Ti1 Ti 0.5000 0.5000 0.5000 1
# Total energy = -10.6 eV for the cell shown
# Formation energy from the elements = 0.794 eV per atom
# Volume = 36.83 Å³/atom
# Theoretical density = 1390 kg/m3
# Relative energy among the computed polymorphs = 0 meV/atom


Copy entry 2 word for word.
# RbLi3Ti, relaxed, DFT PBE-GGA
data_RbLi3Ti
_cell_length_a 5.6891
_cell_length_b 5.6891
_cell_length_c 5.6891
_cell_angle_alpha 90.00
_cell_angle_beta 90.00
_cell_angle_gamma 90.00
_symmetry_space_group_name_H-M 'P m -3 m'
_symmetry_Int_Tables_number 221
_symmetry_space_group_name_Hall '-P 4 2 3'
loop_
_atom_site_label
_atom_site_type_symbol
_atom_site_fract_x
_atom_site_fract_y
_atom_site_fract_z
_atom_site_occupancy
Rb1 Rb 0.0000 0.0000 0.0000 1
Li1 Li 0.0000 0.5000 0.5000 1
Ti1 Ti 0.5000 0.5000 0.5000 1
# Total energy = -10.6 eV for the cell shown
# Formation energy from the elements = 0.794 eV per atom
# Volume = 36.83 Å³/atom
# Theoretical density = 1390 kg/m3
# Relative energy among the computed polymorphs = 0 meV/atom


> What is the formula in the second record?

RbLi3Ti


> The lowest formation energy from the elements belongs to which entry?

RbLi3Ti


> total energy of number 1 (Rb3LiTi)?

-8.0 eV for the cell shown